1.
Below is a relaxed structure of LiCo2SnAs, with properties calculated at the PBE level.

Structure (CIF):
```
data_LiCo2SnAs
_chemical_formula_sum 'Li1 Co2 Sn1 As1'
_space_group_name_H-M_alt 'P 1'
_space_group_IT_number 1
_cell_length_a 4.431
_cell_length_b 4.573
_cell_length_c 4.574
_cell_angle_alpha 68.88
_cell_angle_beta 67.88
_cell_angle_gamma 67.85
loop_
_space_group_symop_operation_xyz
'x,y,z'
loop_
_atom_site_label
_atom_site_fract_x
_atom_site_fract_y
_atom_site_fract_z
_atom_site_occupancy
Li1 0.393 0.608 0.148 1
As1 0.059 0.277 0.818 1
Co1 0.987 0.798 0.803 1
Co2 0.987 0.262 0.339 1
Sn1 0.637 0.869 0.409 1
```

Values from the calculation:
M_tot: 0.00 μB per cell
DOS at the Fermi energy: 3.9 states/eV/cell
ΔE to the lowest computed polymorph: 0.1551 eV/atom
Mass density: 6.88 g/cm³


2.
Below is a relaxed structure of LiCo2SnAs, with properties calculated at the PBE level.

Structure (CIF):
```
data_LiCo2SnAs
_chemical_formula_sum 'Li2 Co4 Sn2 As2'
_space_group_name_H-M_alt 'P 1'
_space_group_IT_number 1
_cell_length_a 3.701
_cell_length_b 3.829
_cell_length_c 12.346
_cell_angle_alpha 90.00
_cell_angle_beta 90.00
_cell_angle_gamma 90.00
loop_
_space_group_symop_operation_xyz
'x,y,z'
loop_
_atom_site_label
_atom_site_fract_x
_atom_site_fract_y
_atom_site_fract_z
_atom_site_occupancy
Co1 0.000 0.500 0.524 1
Co2 0.000 0.000 0.024 1
Co3 0.500 0.000 0.516 1
Co4 0.500 0.500 0.016 1
As1 0.500 0.000 0.915 1
As2 0.500 0.500 0.415 1
Li1 0.000 0.500 0.854 1
Li2 0.000 0.000 0.354 1
Sn1 0.000 0.500 0.160 1
Sn2 0.000 0.000 0.660 1
```

Values from the calculation:
M_tot: 0.00 μB per cell
DOS at the Fermi energy: 4.7 states/eV/cell
ΔE to the lowest computed polymorph: 0.0665 eV/atom
Mass density: 6.04 g/cm³


3.
Below is a relaxed structure of LiCo2SnAs, with properties calculated at the PBE level.

Structure (CIF):
```
data_LiCo2SnAs
_chemical_formula_sum 'Li1 Co2 Sn1 As1'
_space_group_name_H-M_alt 'P 1'
_space_group_IT_number 1
_cell_length_a 3.014
_cell_length_b 4.382
_cell_length_c 6.603
_cell_angle_alpha 93.94
_cell_angle_beta 103.19
_cell_angle_gamma 110.05
loop_
_space_group_symop_operation_xyz
'x,y,z'
loop_
_atom_site_label
_atom_site_fract_x
_atom_site_fract_y
_atom_site_fract_z
_atom_site_occupancy
Co1 0.468 0.244 0.961 1
Co2 0.871 0.848 0.165 1
Li1 0.696 0.053 0.606 1
Sn1 0.248 0.441 0.324 1
As1 0.136 0.662 0.880 1
```

Values from the calculation:
M_tot: 1.04 μB per cell
DOS at the Fermi energy: 4.0 states/eV/cell
ΔE to the lowest computed polymorph: 0.0992 eV/atom
Mass density: 6.72 g/cm³


4.
Below is a relaxed structure of LiCo2SnAs, with properties calculated at the PBE level.

Structure (CIF):
```
data_LiCo2SnAs
_chemical_formula_sum 'Li2 Co4 Sn2 As2'
_space_group_name_H-M_alt 'P 1'
_space_group_IT_number 1
_cell_length_a 4.904
_cell_length_b 3.938
_cell_length_c 8.238
_cell_angle_alpha 90.00
_cell_angle_beta 99.12
_cell_angle_gamma 90.00
loop_
_space_group_symop_operation_xyz
'x,y,z'
loop_
_atom_site_label
_atom_site_fract_x
_atom_site_fract_y
_atom_site_fract_z
_atom_site_occupancy
Co1 0.271 0.500 0.877 1
Co2 0.530 0.000 0.783 1
Co3 0.271 0.000 0.377 1
Co4 0.530 0.500 0.283 1
Sn1 0.438 0.500 0.590 1
Sn2 0.438 0.000 0.090 1
Li1 0.806 0.000 0.485 1
Li2 0.806 0.500 0.985 1
As1 0.004 0.000 0.820 1
As2 0.004 0.500 0.320 1
```

Values from the calculation:
M_tot: 1.40 μB per cell
DOS at the Fermi energy: 8.9 states/eV/cell
ΔE to the lowest computed polymorph: 0.1127 eV/atom
Mass density: 6.73 g/cm³


5.
Below is a relaxed structure of Mg2CoAs, with properties calculated at the PBE level.

Structure (CIF):
```
data_Mg2CoAs
_chemical_formula_sum 'Mg2 Co1 As1'
_space_group_name_H-M_alt 'P 1'
_space_group_IT_number 1
_cell_length_a 8.687
_cell_length_b 8.687
_cell_length_c 8.687
_cell_angle_alpha 20.93
_cell_angle_beta 20.93
_cell_angle_gamma 20.93
loop_
_space_group_symop_operation_xyz
'x,y,z'
loop_
_atom_site_label
_atom_site_fract_x
_atom_site_fract_y
_atom_site_fract_z
_atom_site_occupancy
Co1 0.761 0.761 0.761 1
Mg1 0.242 0.242 0.242 1
Mg2 0.015 0.015 0.015 1
As1 0.482 0.482 0.482 1
```

Values from the calculation:
M_tot: 0.00 μB per cell
DOS at the Fermi energy: 1.6 states/eV/cell
Mass density: 4.13 g/cm³


6.
Below is a relaxed structure of Mg2CoAs, with properties calculated at the PBE level.

Structure (CIF):
```
data_Mg2CoAs
_chemical_formula_sum 'Mg2 Co1 As1'
_space_group_name_H-M_alt 'P 1'
_space_group_IT_number 1
_cell_length_a 4.839
_cell_length_b 4.839
_cell_length_c 2.963
_cell_angle_alpha 90.00
_cell_angle_beta 90.00
_cell_angle_gamma 108.36
loop_
_space_group_symop_operation_xyz
'x,y,z'
loop_
_atom_site_label
_atom_site_fract_x
_atom_site_fract_y
_atom_site_fract_z
_atom_site_occupancy
Mg1 0.500 0.500 0.000 1
Mg2 0.000 0.000 0.000 1
Co1 0.000 0.500 0.500 1
As1 0.500 0.000 0.500 1
```

Values from the calculation:
M_tot: 1.06 μB per cell
DOS at the Fermi energy: 3.4 states/eV/cell
Mass density: 4.60 g/cm³


7.
Below is a relaxed structure of Mg2CoAs, with properties calculated at the PBE level.

Structure (CIF):
```
data_Mg2CoAs
_chemical_formula_sum 'Mg2 Co1 As1'
_space_group_name_H-M_alt 'P 1'
_space_group_IT_number 1
_cell_length_a 3.646
_cell_length_b 3.096
_cell_length_c 6.564
_cell_angle_alpha 61.77
_cell_angle_beta 90.00
_cell_angle_gamma 90.00
loop_
_space_group_symop_operation_xyz
'x,y,z'
loop_
_atom_site_label
_atom_site_fract_x
_atom_site_fract_y
_atom_site_fract_z
_atom_site_occupancy
As1 0.500 0.250 0.250 1
Co1 0.500 0.750 0.750 1
Mg1 0.000 0.485 0.516 1
Mg2 0.000 0.015 0.984 1
```

Values from the calculation:
M_tot: 0.94 μB per cell
DOS at the Fermi energy: 3.3 states/eV/cell
Mass density: 4.64 g/cm³


8.
Below is a relaxed structure of MgCoAs, with properties calculated at the PBE level.

Structure (CIF):
```
data_MgCoAs
_chemical_formula_sum 'Mg2 Co2 As2'
_space_group_name_H-M_alt 'P 1'
_space_group_IT_number 1
_cell_length_a 3.030
_cell_length_b 5.742
_cell_length_c 5.505
_cell_angle_alpha 90.00
_cell_angle_beta 90.00
_cell_angle_gamma 105.15
loop_
_space_group_symop_operation_xyz
'x,y,z'
loop_
_atom_site_label
_atom_site_fract_x
_atom_site_fract_y
_atom_site_fract_z
_atom_site_occupancy
Co1 0.824 0.900 0.319 1
Co2 0.823 0.900 0.819 1
Mg1 0.484 0.224 0.569 1
Mg2 0.162 0.575 0.070 1
As1 0.439 0.133 0.069 1
As2 0.208 0.667 0.569 1
```

Values from the calculation:
M_tot: 0.00 μB per cell
DOS at the Fermi energy: 1.3 states/eV/cell
Mass density: 5.68 g/cm³


9.
Below is a relaxed structure of MgCo4As2, with properties calculated at the PBE level.

Structure (CIF):
```
data_MgCo4As2
_chemical_formula_sum 'Mg2 Co8 As4'
_space_group_name_H-M_alt 'P 1'
_space_group_IT_number 1
_cell_length_a 3.638
_cell_length_b 7.144
_cell_length_c 7.144
_cell_angle_alpha 90.00
_cell_angle_beta 90.00
_cell_angle_gamma 90.00
loop_
_space_group_symop_operation_xyz
'x,y,z'
loop_
_atom_site_label
_atom_site_fract_x
_atom_site_fract_y
_atom_site_fract_z
_atom_site_occupancy
Co1 0.500 0.842 0.425 1
Co2 0.000 0.658 0.925 1
Co3 0.500 0.575 0.158 1
Co4 0.500 0.158 0.575 1
Co5 0.000 0.925 0.658 1
Co6 0.500 0.425 0.842 1
Co7 0.000 0.342 0.075 1
Co8 0.000 0.075 0.342 1
As1 0.000 0.231 0.769 1
As2 0.500 0.731 0.731 1
As3 0.500 0.269 0.269 1
As4 0.000 0.769 0.231 1
Mg1 0.500 0.000 0.000 1
Mg2 0.000 0.500 0.500 1
```

Values from the calculation:
M_tot: 0.02 μB per cell
DOS at the Fermi energy: 12.4 states/eV/cell
Mass density: 7.33 g/cm³


10.
Below is a relaxed structure of Mg3CoAs, with properties calculated at the PBE level.

Structure (CIF):
```
data_Mg3CoAs
_chemical_formula_sum 'Mg3 Co1 As1'
_space_group_name_H-M_alt 'P 1'
_space_group_IT_number 1
_cell_length_a 4.963
_cell_length_b 4.963
_cell_length_c 4.963
_cell_angle_alpha 90.00
_cell_angle_beta 90.00
_cell_angle_gamma 90.00
loop_
_space_group_symop_operation_xyz
'x,y,z'
loop_
_atom_site_label
_atom_site_fract_x
_atom_site_fract_y
_atom_site_fract_z
_atom_site_occupancy
Co1 0.500 0.500 0.500 1
Mg1 0.500 0.000 0.000 1
Mg2 0.000 0.500 0.000 1
Mg3 0.000 0.000 0.500 1
As1 0.000 0.000 0.000 1
```

Values from the calculation:
M_tot: 1.33 μB per cell
DOS at the Fermi energy: 5.6 states/eV/cell
Mass density: 2.81 g/cm³


11.
Below is a relaxed structure of Mg2Co2As, with properties calculated at the PBE level.

Structure (CIF):
```
data_Mg2Co2As
_chemical_formula_sum 'Mg4 Co4 As2'
_space_group_name_H-M_alt 'P 1'
_space_group_IT_number 1
_cell_length_a 6.002
_cell_length_b 6.002
_cell_length_c 4.217
_cell_angle_alpha 90.00
_cell_angle_beta 90.00
_cell_angle_gamma 90.00
loop_
_space_group_symop_operation_xyz
'x,y,z'
loop_
_atom_site_label
_atom_site_fract_x
_atom_site_fract_y
_atom_site_fract_z
_atom_site_occupancy
Mg1 0.333 0.167 0.500 1
Mg2 0.167 0.667 0.500 1
Mg3 0.667 0.833 0.500 1
Mg4 0.833 0.333 0.500 1
Co1 0.140 0.360 0.000 1
Co2 0.360 0.860 0.000 1
Co3 0.860 0.640 0.000 1
Co4 0.640 0.140 0.000 1
As1 0.500 0.500 0.000 1
As2 0.000 0.000 0.000 1
```

Values from the calculation:
M_tot: 3.16 μB per cell
DOS at the Fermi energy: 6.1 states/eV/cell
Mass density: 5.28 g/cm³


12.
Below is a relaxed structure of Mg2CoAs, with properties calculated at the PBE level.

Structure (CIF):
```
data_Mg2CoAs
_chemical_formula_sum 'Mg2 Co1 As1'
_space_group_name_H-M_alt 'P 1'
_space_group_IT_number 1
_cell_length_a 4.981
_cell_length_b 4.981
_cell_length_c 3.939
_cell_angle_alpha 66.72
_cell_angle_beta 66.72
_cell_angle_gamma 46.62
loop_
_space_group_symop_operation_xyz
'x,y,z'
loop_
_atom_site_label
_atom_site_fract_x
_atom_site_fract_y
_atom_site_fract_z
_atom_site_occupancy
Co1 0.250 0.250 0.250 1
Mg1 0.500 0.500 0.500 1
Mg2 0.000 0.000 0.000 1
As1 0.750 0.750 0.750 1
```

Values from the calculation:
M_tot: 1.03 μB per cell
DOS at the Fermi energy: 2.5 states/eV/cell
Mass density: 4.73 g/cm³


13.
Below is a relaxed structure of Mg2CoAs, with properties calculated at the PBE level.

Structure (CIF):
```
data_Mg2CoAs
_chemical_formula_sum 'Mg2 Co1 As1'
_space_group_name_H-M_alt 'P 1'
_space_group_IT_number 1
_cell_length_a 4.450
_cell_length_b 4.450
_cell_length_c 4.450
_cell_angle_alpha 60.00
_cell_angle_beta 60.00
_cell_angle_gamma 60.00
loop_
_space_group_symop_operation_xyz
'x,y,z'
loop_
_atom_site_label
_atom_site_fract_x
_atom_site_fract_y
_atom_site_fract_z
_atom_site_occupancy
Mg1 0.000 0.000 0.000 1
Mg2 0.250 0.250 0.250 1
As1 0.500 0.500 0.500 1
Co1 0.750 0.750 0.750 1
```

Values from the calculation:
M_tot: 0.00 μB per cell
DOS at the Fermi energy: 0.9 states/eV/cell
Mass density: 4.86 g/cm³


For each record above, in turn, the calculated formation energy values are -0.09, -0.18, -0.15, -0.13, -0.04, 0.01, -0.04, -0.30, -0.20, 0.52, -0.17, -0.01, 0.05 eV per atom.